Record 1
A plane-wave DFT calculation with PBE was carried out for an optimized crystal structure of ScOsRh2Au.

The value obtained for the magnetization is 3.1 μB per formula unit. The value obtained for the energy above the lowest structure with this stoichiometry is 0 meV per atom. For the energy relative to the elements, the calculation gives 1.41 eV per atom.

The space group is P4/mmm (No. 123) and the conventional cell measures 4.516, 4.516 and 4.898 Å, with angles of 90.00, 90.00 and 90.00 degrees. The inequivalent atoms are Sc at (0.000, 0.000, 0.000), Os at (0.500, 0.500, 0.500), Rh at (0.000, 0.500, 0.000) and Au at (0.000, 0.000, 0.500).



Record 2
A plane-wave DFT calculation with PBE was carried out for an optimized crystal structure of HoTh2Se4.

The value obtained for the magnetization is 0.0 μB per formula unit. The value obtained for the energy above the lowest structure with this stoichiometry is 10 meV per atom. As for the formation energy without anion corrections: -1.6104 eV/atom.

The space group is Cmcm (No. 63) and the conventional cell measures 3.936, 13.519 and 14.527 Å, with angles of 90.00, 90.00 and 90.00 degrees. The inequivalent atoms are Ho at (0.000, 0.114, 0.250), Th at (0.000, 0.355, 0.066), Se at (0.000, 0.000, 0.000), Se at (0.000, 0.294, 0.633) and Se at (0.000, 0.457, 0.250).



Record 3
A plane-wave DFT calculation with PBE was carried out for an optimized crystal structure of Cs2LiIrI6.

The value obtained for the magnetization is 0.0 μB per formula unit. As for the formation energy without anion corrections: -0.8229 eV/atom.

The space group is I4/mmm (No. 139) and the conventional cell measures 8.214, 8.214 and 11.587 Å, with angles of 90.00, 90.00 and 90.00 degrees. The inequivalent atoms are Cs at (0.000, 0.500, 0.250), Li at (0.000, 0.000, 0.000), Ir at (0.000, 0.000, 0.500), I at (0.000, 0.000, 0.265) and I at (0.234, 0.234, 0.500).